Record 1
Computed, not measured: a crystal of NaHf2PIr relaxed with PBEsol at the meta-GGA SCAN level of DFT.

Cell: 4.826 4.826 4.393 Å, 90.00 90.00 90.00°
Space group P4/mmm (No. 123)
Asymmetric unit:
1 Na 0.000 0.000 0.000 x1
2 Hf 0.000 0.500 0.500 x2
3 P 0.500 0.500 0.500 x1
4 Ir 0.500 0.500 0.000 x1

Properties
- Total magnetization: 0.0 μB per cell
- Total DFT energy (no corrections): -42.172 eV/atom


Record 2
Computed, not measured: a crystal of NaHfIrRh2 relaxed with PBEsol at the meta-GGA SCAN level of DFT.

Cell: 4.278 4.278 4.534 Å, 90.00 90.00 90.00°
Space group P4/mmm (No. 123)
Asymmetric unit:
1 Na 0.000 0.000 0.000 x1
2 Hf 0.000 0.000 0.500 x1
3 Ir 0.500 0.500 0.500 x1
4 Rh 0.000 0.500 0.000 x2

Properties
- Total magnetization: 0.0 μB per cell
- Total DFT energy (no corrections): -39.583 eV/atom


Record 3
Computed, not measured: a crystal of Hf2NbSiIr relaxed with PBEsol at the meta-GGA SCAN level of DFT.

Cell: 4.712 4.712 4.536 Å, 90.00 90.00 90.00°
Space group P4/mmm (No. 123)
Asymmetric unit:
1 Hf 0.000 0.500 0.000 x2
2 Nb 0.000 0.000 0.500 x1
3 Si 0.000 0.000 0.000 x1
4 Ir 0.500 0.500 0.500 x1

Properties
- Energy relative to the elements, uncorrected: 243 kJ/mol of formula units
- Total magnetization: 0.0 μB per cell